Entry 1:
# CaMn2Al

A relaxed CaMn2Al crystal (GGA-PBE, Alexandria).

Unit cell a=2.9081 b=3.6408 c=6.9134 alpha=90.00 beta=90.00 gamma=90.00
Space group Pmmm (No. 47)
One atom of each set of equivalent atoms:
Ca: 0.0000 0.0000 0.0000 [1 per cell]
Mn: 0.5000 0.5000 0.3139 [2 per cell]
Al: 0.0000 0.0000 0.5000 [1 per cell]

DFT formation energy, meV per atom: 240.0

---

Entry 2:
# CaMn2Al

A relaxed CaMn2Al crystal (GGA-PBE, Alexandria).

Unit cell a=7.6901 b=2.9524 c=6.5632 alpha=90.00 beta=97.43 gamma=90.00
Space group Cm (No. 8)
One atom of each set of equivalent atoms:
Ca: 0.0000 0.0000 0.0000 [2 per cell]
Mn: 0.9998 0.5000 0.4537 [2 per cell]
Mn: 0.2697 0.5000 0.3385 [2 per cell]
Al: 0.2383 0.0000 0.6605 [2 per cell]

DFT formation energy, meV per atom: 237.4

---

Entry 3:
# CaMn2Al

A relaxed CaMn2Al crystal (GGA-PBE, Alexandria).

Unit cell a=4.3869 b=4.3869 c=17.8296 alpha=90.00 beta=90.00 gamma=90.00
Space group I4_1/amd (No. 141, origin choice 2)
One atom of each set of equivalent atoms:
Ca: 0.0000 0.2500 0.3750 [4 per cell]
Mn: 0.0000 0.0000 0.0000 [8 per cell]
Al: 0.0000 0.2500 0.8750 [4 per cell]

DFT formation energy, meV per atom: 557.2

---

Entry 4:
# Ca3MnAl

A relaxed Ca3MnAl crystal (GGA-PBE, Alexandria).

Unit cell a=5.4430 b=5.4430 c=5.4430 alpha=90.00 beta=90.00 gamma=90.00
Space group Pm-3m (No. 221)
One atom of each set of equivalent atoms:
Ca: 0.0000 0.0000 0.5000 [3 per cell]
Mn: 0.0000 0.0000 0.0000 [1 per cell]
Al: 0.5000 0.5000 0.5000 [1 per cell]

DFT formation energy, meV per atom: 547.9
Distance to the lowest polymorph of the same formula, meV/atom: 0

---

Entry 5:
# CaMnAl4

A relaxed CaMnAl4 crystal (GGA-PBE, Alexandria).

Unit cell a=7.6678 b=7.6678 c=7.6678 alpha=90.00 beta=90.00 gamma=90.00
Space group F-43m (No. 216)
One atom of each set of equivalent atoms:
Ca: 0.0000 0.0000 0.0000 [4 per cell]
Mn: 0.2500 0.2500 0.7500 [4 per cell]
Al: 0.1250 0.1250 0.3750 [16 per cell]

DFT formation energy, meV per atom: -15.6

---

Entry 6:
# CaMn2Al

A relaxed CaMn2Al crystal (GGA-PBE, Alexandria).

Unit cell a=3.1490 b=4.7585 c=9.8539 alpha=90.00 beta=90.00 gamma=90.00
Space group Imm2 (No. 44)
One atom of each set of equivalent atoms:
Ca: 0.0000 0.0000 0.0000 [2 per cell]
Mn: 0.0000 0.0000 0.5148 [2 per cell]
Mn: 0.0000 0.5000 0.7807 [2 per cell]
Al: 0.0000 0.5000 0.2272 [2 per cell]

DFT formation energy, meV per atom: 341.8

---

Entry 7:
# CaMn2Al

A relaxed CaMn2Al crystal (GGA-PBE, Alexandria).

Unit cell a=4.2496 b=4.2496 c=3.9194 alpha=90.00 beta=90.00 gamma=90.00
Space group P4/mmm (No. 123)
One atom of each set of equivalent atoms:
Ca: 0.0000 0.0000 0.0000 [1 per cell]
Mn: 0.0000 0.5000 0.5000 [2 per cell]
Al: 0.5000 0.5000 0.0000 [1 per cell]

DFT formation energy, meV per atom: 344.9

---

Entry 8:
# CaMnAl2

A relaxed CaMnAl2 crystal (GGA-PBE, Alexandria).

Unit cell a=6.7462 b=6.7462 c=6.7462 alpha=90.00 beta=90.00 gamma=90.00
Space group F-43m (No. 216)
One atom of each set of equivalent atoms:
Ca: 0.0000 0.0000 0.0000 [4 per cell]
Mn: 0.2500 0.2500 0.7500 [4 per cell]
Al: 0.0000 0.0000 0.5000 [4 per cell]
Al: 0.2500 0.2500 0.2500 [4 per cell]

DFT formation energy, meV per atom: 172.5

---

Entry 9:
# CaMnAl2

A relaxed CaMnAl2 crystal (GGA-PBE, Alexandria).

Unit cell a=3.3382 b=4.9025 c=9.6909 alpha=90.00 beta=90.00 gamma=90.00
Space group Imm2 (No. 44)
One atom of each set of equivalent atoms:
Ca: 0.0000 0.0000 0.0000 [2 per cell]
Mn: 0.0000 0.5000 0.2305 [2 per cell]
Al: 0.0000 0.0000 0.5057 [2 per cell]
Al: 0.0000 0.5000 0.7769 [2 per cell]

DFT formation energy, meV per atom: 174.0

---

Entry 10:
# CaMnAl2

A relaxed CaMnAl2 crystal (GGA-PBE, Alexandria).

Unit cell a=4.2262 b=4.2262 c=4.4199 alpha=90.00 beta=90.00 gamma=90.00
Space group P4/mmm (No. 123)
One atom of each set of equivalent atoms:
Ca: 0.0000 0.0000 0.0000 [1 per cell]
Mn: 0.5000 0.5000 0.0000 [1 per cell]
Al: 0.0000 0.5000 0.5000 [2 per cell]

DFT formation energy, meV per atom: 80.6

---

Entry 11:
# CaMnAl2

A relaxed CaMnAl2 crystal (GGA-PBE, Alexandria).

Unit cell a=4.4171 b=4.4171 c=8.0580 alpha=90.00 beta=90.00 gamma=90.00
Space group I-4m2 (No. 119)
One atom of each set of equivalent atoms:
Ca: 0.0000 0.0000 0.0000 [2 per cell]
Mn: 0.0000 0.5000 0.7500 [2 per cell]
Al: 0.0000 0.0000 0.5000 [2 per cell]
Al: 0.0000 0.5000 0.2500 [2 per cell]

DFT formation energy, meV per atom: 160.8

---

Q: Which of these has the highest DFT formation energy?
A: number 3

---

Repeat the second record exactly.
# CaMn2Al

A relaxed CaMn2Al crystal (GGA-PBE, Alexandria).

Unit cell a=7.6901 b=2.9524 c=6.5632 alpha=90.00 beta=97.43 gamma=90.00
Space group Cm (No. 8)
One atom of each set of equivalent atoms:
Ca: 0.0000 0.0000 0.0000 [2 per cell]
Mn: 0.9998 0.5000 0.4537 [2 per cell]
Mn: 0.2697 0.5000 0.3385 [2 per cell]
Al: 0.2383 0.0000 0.6605 [2 per cell]

DFT formation energy, meV per atom: 237.4

---

Q: The lowest DFT formation energy belongs to which entry?
A: CaMnAl4

---

Q: The lowest DFT formation energy belongs to which entry?
A: CaMnAl4